The following is a DFT calculation (PBE with a Hubbard U) of a relaxed Tl3CrTe2O8 crystal.

Structure (POSCAR):
```
Tl3CrTe2O8
1.0
-1.505 2.226 5.484
3.494 -4.991 -0.415
6.391 4.479 -0.064
O Tl Cr Te
8 3 1 2
Cartesian
4.308 2.889 1.515 O
5.970 3.891 3.459 O
4.910 -2.416 0.434 O
5.416 1.349 4.339 O
4.072 -1.176 3.489 O
2.410 -2.177 1.545 O
3.469 4.130 4.571 O
2.964 0.365 0.665 O
6.838 0.926 1.501 Tl
1.542 0.788 3.504 Tl
0.000 0.000 0.000 Tl
3.196 2.239 -0.032 Cr
4.444 2.822 3.474 Te
3.935 -1.108 1.530 Te
```

Density of states at the Fermi level   3.6 states/eV per cell
Total magnetization   1.6 μB per cell
Space-group type   P-3m1
Electronic total energy   -5.25 eV/atom



The following is a DFT calculation (PBE with a Hubbard U) of a relaxed TlCr2TeO8 crystal.

Structure (POSCAR):
```
TlCr2TeO8
1.0
5.681 0.000 0.000
-2.841 4.920 0.000
0.000 0.000 7.899
Cr O Tl Te
2 8 1 1
Cartesian
0.000 3.280 6.004 Cr
2.841 1.640 1.895 Cr
0.000 3.280 4.380 O
0.000 1.643 6.548 O
2.841 3.277 1.351 O
-1.418 4.099 6.548 O
4.258 0.822 1.351 O
2.841 1.640 3.519 O
1.418 4.099 6.548 O
1.423 0.822 1.351 O
0.000 0.000 3.950 Tl
0.000 0.000 0.000 Te
```

Density of states at the Fermi level   4.6 states/eV per cell
Total magnetization   1.0 μB per cell
Space-group type   P-3m1
Electronic total energy   -6.07 eV/atom